1.
The following is a PBE calculation of a relaxed structure of Zr2BeTcRh, from Alexandria via LeMat-Bulk.

Cell: 4.9639 4.9639 4.6371 Å, 90.00 90.00 90.00°
With the nearest neighbours (Å) after each atom.
Fractional coordinates of all 5 atoms:
Zr1 0.0000 0.5000 0.0000  2 Tc 2.48
Zr2 0.5000 0.0000 0.0000  2 Tc 2.48
Be1 0.0000 0.0000 0.5000  8 Zr 3.40, 4 Rh 3.51
Tc1 0.5000 0.5000 0.0000  2 Rh 2.32, 4 Zr 2.48
Rh1 0.5000 0.5000 0.5000  2 Tc 2.32

Output
The formation energy comes out at 915 meV/atom. As for the calculated density: 5.7 g/cm³. The total moment is 0.00 μB per formula unit. The calculation puts the electronic total energy at -33.963 eV per cell.

---

2.
The following is a PBE calculation of a relaxed structure of BeTeRh2, from Alexandria via LeMat-Bulk.

Cell: 4.1457 4.1457 3.4723 Å, 90.00 90.00 90.00°
With the nearest neighbours (Å) after each atom.
Fractional coordinates of all 4 atoms:
Be1 0.0000 0.0000 0.0000  8 Rh 2.70, 4 Te 2.93
Te1 0.5000 0.5000 0.0000  8 Rh 2.70, 4 Be 2.93
Rh1 0.0000 0.5000 0.5000  4 Te 2.70, 4 Be 2.70, 4 Rh 2.93
Rh2 0.5000 0.0000 0.5000  4 Te 2.70, 4 Be 2.70, 4 Rh 2.93

Output
As for the calculated density: 9.5 g/cm³. Its energy above the lowest structure with this stoichiometry is 0.2180 eV/atom. The total moment is 0.00 μB per formula unit. The calculation puts the electronic total energy at -21.881 eV per cell.

---

3.
The following is a PBE calculation of a relaxed structure of BeTe2Rh, from Alexandria via LeMat-Bulk.

Cell: 7.0787 7.0787 7.0787 Å, 131.72 131.72 70.67°
With the nearest neighbours (Å) after each atom.
Fractional coordinates of all 8 atoms:
Be1 0.0000 0.0000 0.0000  4 Te 2.44
Be2 0.7500 0.2500 0.5000  4 Te 2.44
Te1 0.1050 0.6250 0.9800  2 Be 2.44, 2 Rh 2.57
Te2 0.3750 0.3550 0.4800  2 Be 2.44, 2 Rh 2.57
Te3 0.6450 0.1250 0.0200  2 Be 2.44, 2 Rh 2.57
Te4 0.8750 0.8950 0.5200  2 Be 2.44, 2 Rh 2.57
Rh1 0.2500 0.7500 0.5000  4 Te 2.57
Rh2 0.5000 0.5000 0.0000  4 Te 2.57

Output
As for the calculated density: 6.3 g/cm³. The total moment is 0.00 μB per formula unit. The calculation puts the electronic total energy at -35.460 eV per cell.

---

4.
The following is a PBE calculation of a relaxed structure of Be2TeRh2, from Alexandria via LeMat-Bulk.

Cell: 6.6985 6.6985 3.0204 Å, 90.00 90.00 90.00°
With the nearest neighbours (Å) after each atom.
Fractional coordinates of all 10 atoms:
Be1 0.1174 0.3826 0.0000  1 Be 2.22, 4 Rh 2.42
Be2 0.3826 0.8826 0.0000  1 Be 2.22, 4 Rh 2.42
Be3 0.6174 0.1174 0.0000  1 Be 2.22, 4 Rh 2.42
Be4 0.8826 0.6174 0.0000  1 Be 2.22, 4 Rh 2.42
Te1 0.0000 0.0000 0.0000  4 Be 2.68, 8 Rh 2.93
Te2 0.5000 0.5000 0.0000  4 Be 2.68, 8 Rh 2.93
Rh1 0.1610 0.6610 0.5000  6 Be 2.42-2.59
Rh2 0.3390 0.1610 0.5000  6 Be 2.42-2.59
Rh3 0.6610 0.8390 0.5000  6 Be 2.42-2.59
Rh4 0.8390 0.3390 0.5000  6 Be 2.42-2.59

Output
As for the calculated density: 8.6 g/cm³. Its energy above the lowest structure with this stoichiometry is 0.0000 eV/atom. The total moment is 0.00 μB per formula unit. The calculation puts the electronic total energy at -52.152 eV per cell.

---

5.
The following is a PBE calculation of a relaxed structure of BeTeRh2, from Alexandria via LeMat-Bulk.

Cell: 5.9434 5.9434 5.9434 Å, 35.33 35.33 35.33°
With the nearest neighbours (Å) after each atom.
Fractional coordinates of all 4 atoms:
Be1 0.0000 0.0000 0.0000  6 Rh 2.29
Te1 0.5000 0.5000 0.5000  6 Rh 2.78
Rh1 0.2767 0.2767 0.2767  3 Be 2.29
Rh2 0.7233 0.7233 0.7233  3 Be 2.29

Output
As for the calculated density: 9.1 g/cm³. Its energy above the lowest structure with this stoichiometry is 0.1153 eV/atom. The total moment is 0.00 μB per formula unit. The calculation puts the electronic total energy at -22.291 eV per cell.

---

6.
The following is a PBE calculation of a relaxed structure of BeTeRh, from Alexandria via LeMat-Bulk.

Cell: 5.4672 5.4672 5.4672 Å, 146.60 146.60 47.96°
With the nearest neighbours (Å) after each atom.
Fractional coordinates of all 3 atoms:
Be1 0.0000 0.0000 0.0000  4 Rh 2.32
Te1 0.2872 0.2872 0.0000  5 Rh 2.80-3.12, 5 Be 2.87-3.08
Rh1 0.5677 0.5677 0.0000  4 Be 2.32

Output
As for the calculated density: 8.1 g/cm³. Its energy above the lowest structure with this stoichiometry is 0.1926 eV/atom. The total moment is 0.00 μB per formula unit. The calculation puts the electronic total energy at -14.083 eV per cell.

---

7.
The following is a PBE calculation of a relaxed structure of BeTeRh2, from Alexandria via LeMat-Bulk.

Cell: 3.2835 3.2835 5.8053 Å, 90.00 90.00 90.00°
With the nearest neighbours (Å) after each atom.
Fractional coordinates of all 4 atoms:
Be1 0.0000 0.0000 0.0000  5 Rh 2.31-2.35
Te1 0.5000 0.5000 0.6151  5 Rh 2.61-2.64
Rh1 0.0000 0.0000 0.3973  1 Be 2.31
Rh2 0.5000 0.5000 0.0650  4 Be 2.35, 1 Te 2.61

Output
As for the calculated density: 9.1 g/cm³. Its energy above the lowest structure with this stoichiometry is 0.1456 eV/atom. The total moment is 0.00 μB per formula unit. The calculation puts the electronic total energy at -22.170 eV per cell.

---

8.
The following is a PBE calculation of a relaxed structure of BeTeRh2, from Alexandria via LeMat-Bulk.

Cell: 3.8059 3.8059 5.3857 Å, 110.72 110.72 60.09°
With the nearest neighbours (Å) after each atom.
Fractional coordinates of all 4 atoms:
Be1 0.0000 0.0000 0.0000  6 Rh 2.34-2.43, 1 Te 2.59
Te1 0.8253 0.8253 0.4737  1 Be 2.59, 6 Rh 2.67-2.70
Rh1 0.3884 0.3884 0.1637  3 Be 2.34
Rh2 0.5969 0.5969 0.7901  3 Be 2.42-2.43, 3 Te 2.69-2.70

Output
As for the calculated density: 9.2 g/cm³. Its energy above the lowest structure with this stoichiometry is 0.0000 eV/atom. The total moment is 0.00 μB per formula unit. The calculation puts the electronic total energy at -22.752 eV per cell.

---

9.
The following is a PBE calculation of a relaxed structure of BeTeRh2, from Alexandria via LeMat-Bulk.

Cell: 3.0394 3.0394 6.4275 Å, 90.00 90.00 90.00°
With the nearest neighbours (Å) after each atom.
Fractional coordinates of all 4 atoms:
Be1 0.0000 0.0000 0.0000  8 Rh 2.53
Te1 0.0000 0.0000 0.5000  8 Rh 2.85, 4 Te 3.04
Rh1 0.5000 0.5000 0.2091  4 Be 2.53, 1 Rh 2.69
Rh2 0.5000 0.5000 0.7909  4 Be 2.53, 1 Rh 2.69

Output
As for the calculated density: 9.6 g/cm³. Its energy above the lowest structure with this stoichiometry is 0.1674 eV/atom. The total moment is 0.00 μB per formula unit. The calculation puts the electronic total energy at -22.083 eV per cell.

---

10.
The following is a PBE calculation of a relaxed structure of BeTe4Rh, from Alexandria via LeMat-Bulk.

Cell: 6.1604 6.1604 6.1604 Å, 60.00 60.00 60.00°
With the nearest neighbours (Å) after each atom.
Fractional coordinates of all 6 atoms:
Be1 0.0000 0.0000 0.0000  12 Te 3.61, 4 Rh 3.77
Te1 0.3752 0.3752 0.3752  6 Te 3.08
Te2 0.3752 0.3752 0.8744  6 Te 3.08
Te3 0.3752 0.8744 0.3752  6 Te 3.08
Te4 0.8744 0.3752 0.3752  6 Te 3.08
Rh1 0.7500 0.7500 0.7500  12 Te 3.61, 4 Be 3.77

Output
As for the calculated density: 6.3 g/cm³. The total moment is 0.01 μB per formula unit. The calculation puts the electronic total energy at -16.491 eV per cell.

---

11.
The following is a PBE calculation of a relaxed structure of BeTeRh, from Alexandria via LeMat-Bulk.

Cell: 3.9207 3.9207 3.7330 Å, 90.00 90.00 120.00°
With the nearest neighbours (Å) after each atom.
Fractional coordinates of all 3 atoms:
Be1 0.0000 0.0000 0.0000  3 Rh 2.26
Te1 0.3333 0.6667 0.5000  6 Be 2.93, 6 Rh 2.93
Rh1 0.6667 0.3333 0.0000  3 Be 2.26

Output
As for the calculated density: 8.0 g/cm³. Its energy above the lowest structure with this stoichiometry is 0.1576 eV/atom. The total moment is 0.00 μB per formula unit. The calculation puts the electronic total energy at -14.188 eV per cell.

---

12.
The following is a PBE calculation of a relaxed structure of BeTeRh2, from Alexandria via LeMat-Bulk.

Cell: 3.1914 3.4615 5.6669 Å, 90.00 103.49 90.00°
With the nearest neighbours (Å) after each atom.
Fractional coordinates of all 4 atoms:
Be1 0.0000 0.0000 0.0000  4 Rh 2.31
Te1 0.0000 0.0000 0.5000  8 Rh 2.80-2.82, 2 Be 2.83
Rh1 0.3799 0.5000 0.2216  2 Be 2.31
Rh2 0.6201 0.5000 0.7784  2 Be 2.31

Output
As for the calculated density: 9.3 g/cm³. Its energy above the lowest structure with this stoichiometry is 0.2182 eV/atom. The total moment is 0.00 μB per formula unit. The calculation puts the electronic total energy at -21.879 eV per cell.